# 1
# NaMoIrI2 PBE optimized geometry
data_NaMoIrI2
_symmetry_space_group_name_H-M 'P 1'
_symmetry_Int_Tables_number 1
_cell_length_a 5.2410
_cell_length_b 5.2410
_cell_length_c 6.0269
_cell_angle_alpha 90.00
_cell_angle_beta 90.00
_cell_angle_gamma 90.00
loop_
_symmetry_equiv_pos_as_xyz
'x,y,z'
loop_
_atom_site_label
_atom_site_fract_x
_atom_site_fract_y
_atom_site_fract_z
Na1 0.0000 0.0000 0.0000
Mo1 0.0000 0.0000 0.5000
Ir1 0.5000 0.5000 0.0000
I1 0.0000 0.5000 0.5000
I2 0.5000 0.0000 0.5000
# Fermi-level density of states: 1.565 states/eV per atom
# Calculated total energy: -0.2402 Ry/atom

# 2
# NbMoIrI2 PBE optimized geometry
data_NbMoIrI2
_symmetry_space_group_name_H-M 'P 1'
_symmetry_Int_Tables_number 1
_cell_length_a 5.4792
_cell_length_b 5.4792
_cell_length_c 4.9117
_cell_angle_alpha 90.00
_cell_angle_beta 90.00
_cell_angle_gamma 90.00
loop_
_symmetry_equiv_pos_as_xyz
'x,y,z'
loop_
_atom_site_label
_atom_site_fract_x
_atom_site_fract_y
_atom_site_fract_z
Nb1 0.0000 0.0000 0.0000
Mo1 0.5000 0.5000 0.5000
Ir1 0.0000 0.0000 0.5000
I1 0.0000 0.5000 0.0000
I2 0.5000 0.0000 0.0000
# Fermi-level density of states: 0.948 states/eV per atom
# Calculated total energy: -0.3751 Ry/atom